This record from Alexandria describes a geometry-optimized ReSiRu2 structure. The functional is PBE.

The calculation puts the total magnetization at 0.00 Bohr magnetons per cell. For the formation energy without anion corrections, the calculation gives -0.835 eV per formula unit.

Unit cell a=2.8786 b=4.3606 c=8.7499 alpha=90.00 beta=90.00 gamma=90.00
Space group Imm2 (No. 44)
Inequivalent atoms, fractional coordinates:
Re1 0.0000 0.0000 0.0000 [2 per cell]
Si1 0.0000 0.5000 0.2697 [2 per cell]
Ru1 0.0000 0.0000 0.5536 [2 per cell]
Ru2 0.0000 0.5000 0.7707 [2 per cell]

This record from Alexandria describes a geometry-optimized TbReSi2Ru structure. The functional is PBE.

The calculation puts the total magnetization at 0.00 Bohr magnetons per cell. For the formation energy without anion corrections, the calculation gives -3.262 eV per formula unit.

Unit cell a=4.1830 b=4.1830 c=9.8089 alpha=90.00 beta=90.00 gamma=90.00
Space group I-4m2 (No. 119)
Inequivalent atoms, fractional coordinates:
Tb1 0.0000 0.0000 0.0000 [2 per cell]
Re1 0.0000 0.5000 0.2500 [2 per cell]
Si1 0.0000 0.0000 0.3729 [4 per cell]
Ru1 0.0000 0.5000 0.7500 [2 per cell]

This record from Alexandria describes a geometry-optimized TiReSiRu structure. The functional is PBE.

The calculation puts the total magnetization at 0.00 Bohr magnetons per cell. For the formation energy without anion corrections, the calculation gives -2.224 eV per formula unit.

Unit cell a=6.0561 b=6.0561 c=6.0561 alpha=90.00 beta=90.00 gamma=90.00
Space group F-43m (No. 216)
Inequivalent atoms, fractional coordinates:
Ti1 0.0000 0.0000 0.0000 [4 per cell]
Re1 0.2500 0.2500 0.2500 [4 per cell]
Si1 0.0000 0.0000 0.5000 [4 per cell]
Ru1 0.2500 0.2500 0.7500 [4 per cell]

This record from Alexandria describes a geometry-optimized TmReSi2Ru structure. The functional is PBE.

The calculation puts the total magnetization at 0.00 Bohr magnetons per cell. For the formation energy without anion corrections, the calculation gives -3.209 eV per formula unit.

Unit cell a=4.1759 b=4.1759 c=9.6623 alpha=90.00 beta=90.00 gamma=90.00
Space group I-4m2 (No. 119)
Inequivalent atoms, fractional coordinates:
Tm1 0.0000 0.0000 0.0000 [2 per cell]
Re1 0.0000 0.5000 0.2500 [2 per cell]
Si1 0.0000 0.0000 0.3737 [4 per cell]
Ru1 0.0000 0.5000 0.7500 [2 per cell]

This record from Alexandria describes a geometry-optimized YReSi2Ru structure. The functional is PBE.

The calculation puts the total magnetization at 0.00 Bohr magnetons per cell. For the formation energy without anion corrections, the calculation gives -3.255 eV per formula unit.

Unit cell a=4.1831 b=4.1831 c=9.7843 alpha=90.00 beta=90.00 gamma=90.00
Space group I-4m2 (No. 119)
Inequivalent atoms, fractional coordinates:
Y1 0.0000 0.0000 0.0000 [2 per cell]
Re1 0.0000 0.5000 0.2500 [2 per cell]
Si1 0.0000 0.0000 0.3728 [4 per cell]
Ru1 0.0000 0.5000 0.7500 [2 per cell]

This record from Alexandria describes a geometry-optimized YReSiRu2 structure. The functional is PBE.

The calculation puts the total magnetization at 0.00 Bohr magnetons per cell. For the formation energy without anion corrections, the calculation gives 2.887 eV per formula unit.

Unit cell a=4.7571 b=4.7571 c=4.5847 alpha=90.00 beta=90.00 gamma=90.00
Space group P4/mmm (No. 123)
Inequivalent atoms, fractional coordinates:
Y1 0.0000 0.0000 0.0000 [1 per cell]
Re1 0.5000 0.5000 0.5000 [1 per cell]
Si1 0.5000 0.5000 0.0000 [1 per cell]
Ru1 0.0000 0.5000 0.5000 [2 per cell]

This record from Alexandria describes a geometry-optimized SmReRu structure. The functional is PBE.

The calculation puts the calculated formation energy at -155 meV per atom. The calculation puts the total magnetization at 0.00 Bohr magnetons per cell. For the energy above the lowest structure with this stoichiometry, the calculation gives 0 meV/atom.

Unit cell a=5.1408 b=5.7957 c=7.6306 alpha=90.00 beta=90.00 gamma=90.00
Space group Imma (No. 74)
Inequivalent atoms, fractional coordinates:
Sm1 0.0000 0.2500 0.1229 [4 per cell]
Re1 0.2500 0.2500 0.7500 [4 per cell]
Ru1 0.0000 0.0000 0.5000 [4 per cell]

This record from Alexandria describes a geometry-optimized SmReRu structure. The functional is PBE.

The calculation puts the calculated formation energy at 364 meV per atom. The calculation puts the total magnetization at 0.00 Bohr magnetons per cell. For the energy above the lowest structure with this stoichiometry, the calculation gives 519 meV/atom.

Unit cell a=5.0120 b=8.8539 c=20.5809 alpha=90.00 beta=90.00 gamma=90.00
Space group Fddd (No. 70, origin choice 2)
Inequivalent atoms, fractional coordinates:
Sm1 0.1250 0.2936 0.1250 [16 per cell]
Re1 0.1250 0.1250 0.9998 [16 per cell]
Ru1 0.1250 0.1250 0.5548 [16 per cell]

This record from Alexandria describes a geometry-optimized ReSn3Ru structure. The functional is PBE.

The calculation puts the calculated formation energy at 1125 meV per atom. The calculation puts the total magnetization at 2.87 Bohr magnetons per cell. For the energy above the lowest structure with this stoichiometry, the calculation gives 0 meV/atom.

Unit cell a=5.1440 b=5.1440 c=5.1440 alpha=90.00 beta=90.00 gamma=90.00
Space group Pm-3m (No. 221)
Inequivalent atoms, fractional coordinates:
Re1 0.0000 0.0000 0.0000 [1 per cell]
Sn1 0.0000 0.0000 0.5000 [3 per cell]
Ru1 0.5000 0.5000 0.5000 [1 per cell]

This record from Alexandria describes a geometry-optimized Re2SnRu structure. The functional is PBE.

The calculation puts the calculated formation energy at 1549 meV per atom. The calculation puts the total magnetization at 0.00 Bohr magnetons per cell.

Unit cell a=5.9244 b=5.9244 c=11.1000 alpha=90.00 beta=90.00 gamma=90.00
Space group I-42d (No. 122)
Inequivalent atoms, fractional coordinates:
Re1 0.2106 0.2500 0.1250 [8 per cell]
Sn1 0.0000 0.0000 0.5000 [4 per cell]
Ru1 0.0000 0.0000 0.0000 [4 per cell]

This record from Alexandria describes a geometry-optimized TaReSnRu structure. The functional is PBE.

The calculation puts the calculated formation energy at -151 meV per atom. The calculation puts the total magnetization at 0.00 Bohr magnetons per cell.

Unit cell a=6.4192 b=6.4192 c=6.4192 alpha=90.00 beta=90.00 gamma=90.00
Space group F-43m (No. 216)
Inequivalent atoms, fractional coordinates:
Ta1 0.0000 0.0000 0.0000 [4 per cell]
Re1 0.2500 0.2500 0.2500 [4 per cell]
Sn1 0.0000 0.0000 0.5000 [4 per cell]
Ru1 0.2500 0.2500 0.7500 [4 per cell]

This record from Alexandria describes a geometry-optimized Re2TcSnRu structure. The functional is PBE.

The calculation puts the calculated formation energy at 2000 meV per atom. The calculation puts the total magnetization at 2.57 Bohr magnetons per cell.

Unit cell a=4.6570 b=4.6570 c=4.8447 alpha=90.00 beta=90.00 gamma=90.00
Space group P4/mmm (No. 123)
Inequivalent atoms, fractional coordinates:
Re1 0.0000 0.5000 0.0000 [2 per cell]
Tc1 0.0000 0.0000 0.5000 [1 per cell]
Sn1 0.5000 0.5000 0.5000 [1 per cell]
Ru1 0.5000 0.5000 0.0000 [1 per cell]